First-principles (PBE) data for a relaxed Cs4Cl crystal, as listed in Alexandria via LeMat-Bulk.

Unit cell a=7.384 b=7.384 c=7.384 alpha=90.00 beta=90.00 gamma=90.00
Sites, in units of the cell vectors:
Cs1 0.000 0.000 0.000
Cs2 0.500 0.500 0.000
Cl1 0.500 0.500 0.500
Cs3 0.000 0.500 0.500
Cs4 0.500 0.000 0.500

Calculated values
Energy relative to the lowest polymorph listed for this composition: 0.000 eV per atom
Space group: Pm-3m (221)

First-principles (PBE) data for a relaxed MgIrO2F crystal, as listed in Alexandria via LeMat-Bulk.

Unit cell a=3.958 b=3.958 c=3.558 alpha=90.00 beta=90.00 gamma=90.00
Each line ends with the local moment (μB).
Sites, in units of the cell vectors:
O1 0.500 0.000 0.000  0.05
Ir1 0.500 0.500 0.500  1.32
O2 0.000 0.500 0.000  0.05
F1 0.000 0.000 0.500  0.08
Mg1 0.000 0.000 0.000  0.00

Calculated values
Space group: P4/mmm (123)
Calculated total energy: -4.991 eV per atom

First-principles (PBE) data for a relaxed TiW3C crystal, as listed in Alexandria via LeMat-Bulk.

Unit cell a=4.563 b=4.563 c=4.563 alpha=90.00 beta=90.00 gamma=90.00
Sites, in units of the cell vectors:
W1 0.000 0.500 0.000
C1 0.500 0.500 0.500
W2 0.000 0.000 0.500
W3 0.500 0.000 0.000
Ti1 0.000 0.000 0.000

Calculated values
Energy relative to the lowest polymorph listed for this composition: 3.108 eV per atom
Calculated formation energy: 3.203 eV per atom
Space group: Pm-3m (221)

First-principles (PBE) data for a relaxed Ag2MoOs crystal, as listed in Alexandria via LeMat-Bulk.

Unit cell a=2.672 b=2.672 c=9.075 alpha=90.00 beta=90.00 gamma=90.00
Each line ends with the local moment (μB).
Sites, in units of the cell vectors:
Ag1 0.000 0.000 0.998  0.01
Os1 0.500 0.500 0.750  0.47
Mo1 0.500 0.500 0.250  -0.01
Ag2 0.000 0.000 0.502  0.01

Calculated values
Energy relative to the lowest polymorph listed for this composition: 0.465 eV per atom
Calculated formation energy: 0.708 eV per atom
Space group: P4/mmm (123)

First-principles (PBE) data for a relaxed TaCr2Tc crystal, as listed in Alexandria via LeMat-Bulk.

Unit cell a=4.233 b=2.698 c=5.019 alpha=79.83 beta=90.00 gamma=90.00
Sites, in units of the cell vectors:
Ta1 0.000 0.501 0.495
Cr1 0.500 0.247 0.235
Cr2 0.000 0.006 0.006
Tc1 0.500 0.746 0.764

Calculated values
Energy relative to the lowest polymorph listed for this composition: 0.083 eV per atom
Calculated formation energy: 0.025 eV per atom
Space group: Pm (6)

First-principles (PBE) data for a relaxed PuTc2As2 crystal, as listed in Alexandria via LeMat-Bulk.

Unit cell a=3.959 b=4.022 c=11.808 alpha=90.00 beta=99.65 gamma=90.00
Each line ends with the local moment (μB).
Sites, in units of the cell vectors:
As1 0.250 0.750 0.500  -0.07
Tc1 0.534 0.250 0.068  -0.02
As2 0.891 0.750 0.783  -0.06
As3 0.109 0.250 0.217  -0.06
Pu1 0.348 0.250 0.696  4.96
Tc2 0.039 0.750 0.079  -0.20
Tc3 0.466 0.750 0.932  -0.02
As4 0.750 0.250 0.500  -0.07
Tc4 0.961 0.250 0.921  -0.20
Pu2 0.652 0.750 0.304  4.96

Calculated values
Calculated formation energy: -0.522 eV per atom
Space group: Cmcm (63)

First-principles (PBE) data for a relaxed TiAsSe2O crystal, as listed in Alexandria via LeMat-Bulk.

Unit cell a=5.090 b=3.667 c=5.090 alpha=90.00 beta=90.00 gamma=90.00
Sites, in units of the cell vectors:
Se1 0.500 0.000 0.000
Ti1 0.000 0.500 0.000
O1 0.000 0.000 0.000
Se2 0.000 0.000 0.500
As1 0.500 0.500 0.500

Calculated values
Energy relative to the lowest polymorph listed for this composition: 0.000 eV per atom
Space group: P4/mmm (123)

First-principles (PBE) data for a relaxed ZrZnFe2 crystal, as listed in Alexandria via LeMat-Bulk.

Unit cell a=8.768 b=8.768 c=8.768 alpha=18.98 beta=18.98 gamma=18.98
Each line ends with the local moment (μB).
Sites, in units of the cell vectors:
Zr1 0.746 0.746 0.746  0.01
Fe1 0.255 0.255 0.255  2.60
Fe2 0.990 0.990 0.990  2.45
Zn1 0.510 0.510 0.510  -0.04

Calculated values
Calculated formation energy: 0.205 eV per atom
Space group: R3m (160)

First-principles (PBE) data for a relaxed BaNbO3 crystal, as listed in Alexandria via LeMat-Bulk.

Unit cell a=8.337 b=8.337 c=5.000 alpha=90.00 beta=90.00 gamma=138.47
Sites, in units of the cell vectors:
Ba1 0.679 0.321 0.750
O1 0.000 0.000 0.500
O2 0.582 0.921 0.750
Nb1 0.905 0.095 0.750
Ba2 0.321 0.679 0.250
Nb2 0.095 0.905 0.250
O3 0.418 0.079 0.250
O4 0.921 0.582 0.250
O5 0.079 0.418 0.750
O6 0.000 0.000 0.000

Calculated values
Space group: Cmcm (63)
Calculated total energy: -7.826 eV per atom

First-principles (PBE) data for a relaxed InRe2W crystal, as listed in Alexandria via LeMat-Bulk.

Unit cell a=4.958 b=4.958 c=4.900 alpha=75.60 beta=75.60 gamma=35.31
Sites, in units of the cell vectors:
Re1 0.018 0.018 0.968
W1 0.750 0.750 0.750
In1 0.250 0.250 0.250
Re2 0.482 0.482 0.532

Calculated values
Calculated formation energy: 0.442 eV per atom
Space group: C2/m (12)

First-principles (PBE) data for a relaxed Na2VInS crystal, as listed in Alexandria via LeMat-Bulk.

Unit cell a=5.865 b=5.021 c=5.865 alpha=90.00 beta=90.00 gamma=90.00
Sites, in units of the cell vectors:
Na1 0.500 0.000 0.000
S1 0.000 0.500 0.000
Na2 0.000 0.000 0.500
V1 0.500 0.500 0.500
In1 0.000 0.000 0.000

Calculated values
Space group: P4/mmm (123)
Calculated total energy: -2.626 eV per atom

First-principles (PBE) data for a relaxed Sn2AsSe2 crystal, as listed in Alexandria via LeMat-Bulk.

Unit cell a=8.046 b=8.046 c=3.847 alpha=90.00 beta=90.00 gamma=90.00
Sites, in units of the cell vectors:
Se1 0.360 0.140 0.500
Sn1 0.317 0.817 0.000
Se2 0.140 0.640 0.500
As1 0.000 0.000 0.000
Se3 0.640 0.860 0.500
Sn2 0.683 0.183 0.000
Se4 0.860 0.360 0.500
Sn3 0.183 0.317 0.000
As2 0.500 0.500 0.000
Sn4 0.817 0.683 0.000

Calculated values
Space group: P4/mbm (127)
Calculated total energy: -3.892 eV per atom

no.,density of states at the Fermi level (states/eV/cell),magnetic moment (μB/f.u.)
1,3.88,0.000
2,5.10,1.571
3,3.23,0.000
4,3.65,0.495
5,3.28,0.000
6,23.40,4.710
7,5.21,0.000
8,3.27,4.988
9,2.97,0.000
10,2.33,0.000
11,2.33,0.086
12,6.60,0.000